CeHf2As4, optimized geometry, DFT PBE; V = 22.7 Å³/atom; final energy = -102.462 eV for the cell shown; magnetization = 0.000 μB per formula unit; space-group type = Cmcm
1.0
3.909 0.000 0.000
-1.954 6.283 0.000
0.000 0.000 12.953
As Hf Ce
8 4 2
Cartesian
1.954 0.000 6.477
1.954 0.000 0.000
1.954 3.351 4.835
1.954 5.522 9.715
0.000 2.932 11.312
1.954 3.351 1.641
0.000 0.761 3.238
0.000 2.932 8.118
0.000 1.688 5.713
0.000 1.688 0.763
1.954 4.595 7.240
1.954 4.595 12.190
0.000 4.901 3.238
1.954 1.382 9.715



CrCo4H4, optimized geometry, DFT PBE; V = 6.9 Å³/atom; final energy = -51.355 eV for the cell shown; magnetization = 1.293 μB per formula unit; space-group type = I4/m
1.0
3.605 2.704 -0.223
-1.464 -2.878 3.150
1.099 -2.950 -3.231
Co H Cr
4 4 1
Cartesian
1.783 -1.302 -1.382
1.457 -1.824 1.078
2.489 0.452 0.458
0.751 -3.577 -0.762
0.379 -1.872 -0.389
3.175 -0.781 -2.369
2.861 -1.253 0.085
0.064 -2.344 2.065
0.000 0.000 0.000



BaP2, optimized geometry, DFT PBE; V = 31.9 Å³/atom; final energy = -11.576 eV for the cell shown; magnetization = 0.000 μB per formula unit; space-group type = Fm-3m
1.0
5.133 0.000 0.000
2.566 4.445 0.000
2.566 1.482 4.191
Ba P
1 2
Cartesian
0.000 0.000 0.000
7.699 4.445 3.143
2.566 1.482 1.048



RbNb2VI, optimized geometry, DFT PBE; V = 23.0 Å³/atom; final energy = -17.671 eV for the cell shown; magnetization = 0.000 μB per formula unit; formation energy without anion corrections = 2821 meV/atom; space-group type = P4/mmm
1.0
5.044 0.000 0.000
0.000 4.524 0.000
0.000 0.000 5.044
Nb V I Rb
2 1 1 1
Cartesian
2.522 0.000 0.000
0.000 0.000 2.522
0.000 2.262 0.000
2.522 2.262 2.522
0.000 0.000 0.000



AcTbGdAg, optimized geometry, DFT PBE; V = 30.4 Å³/atom; final energy = -25.014 eV for the cell shown; magnetization = 8.354 μB per formula unit; space-group type = F-43m
1.0
-1.038 -2.102 5.046
4.167 -2.028 3.080
1.680 2.728 4.549
Tb Ac Gd Ag
1 1 1 1
Cartesian
1.202 -0.350 3.169
2.405 -0.701 6.337
3.607 -1.051 9.506
0.000 0.000 0.000



Os2RuW, optimized geometry, DFT PBE; V = 14.7 Å³/atom; final energy = -44.424 eV for the cell shown; magnetization = 0.000 μB per formula unit; energy above the lowest structure with this stoichiometry = 73 meV/atom; space-group type = Cmmm
1.0
4.753 0.007 0.000
-1.574 4.485 0.000
0.000 0.000 2.758
W Os Ru
1 2 1
Cartesian
-0.787 2.242 1.379
1.589 2.246 0.000
0.000 0.000 0.000
2.376 0.003 1.379



TaTi2RhC, optimized geometry, DFT PBE; V = 14.6 Å³/atom; final energy = -46.630 eV for the cell shown; magnetization = 0.000 μB per formula unit; space-group type = P4/mmm
1.0
4.130 0.000 0.000
0.000 4.130 0.000
0.000 0.000 4.282
Rh C Ti Ta
1 1 2 1
Cartesian
2.065 2.065 2.141
0.000 0.000 0.000
0.000 2.065 0.000
2.065 0.000 0.000
0.000 0.000 2.141



NaSn2Au2, optimized geometry, DFT PBE; V = 26.4 Å³/atom; final energy = -16.821 eV for the cell shown; magnetization = 0.000 μB per formula unit; energy above the lowest structure with this stoichiometry = 91 meV/atom; space-group type = I4/mmm
1.0
4.828 0.000 0.000
0.000 4.828 0.000
2.414 2.414 5.654
Au Na Sn
2 1 2
Cartesian
4.828 4.828 4.276
2.414 2.414 1.378
0.000 0.000 0.000
4.828 2.414 2.827
2.414 4.828 2.827



KRb8Au2, optimized geometry, DFT PBE; V = 63.5 Å³/atom; final energy = -16.510 eV for the cell shown; magnetization = 0.000 μB per formula unit; space-group type = C2/m
1.0
7.250 0.050 0.075
-1.126 10.237 -0.072
-1.126 -4.009 9.420
Rb K Au
8 1 2
Cartesian
4.854 3.016 8.925
0.588 3.757 5.639
2.499 6.470 2.492
0.145 3.262 0.498
0.145 -0.797 3.202
4.411 2.520 3.783
2.499 -0.193 6.931
4.854 7.075 6.221
3.625 0.025 0.037
-1.126 5.695 2.955
-1.126 0.533 6.393



Pr15Er4Al, optimized geometry, DFT PBE; V = 33.8 Å³/atom; final energy = -93.955 eV for the cell shown; magnetization = 0.000 μB per formula unit; space-group type = P4/mmm
1.0
-3.894 2.897 -1.636
-0.879 -3.324 -3.795
-16.148 -13.107 15.222
Pr Er Al
15 4 1
Cartesian
-12.099 -8.097 6.440
-1.958 -2.895 -0.466
-10.021 -5.105 6.793
-16.577 -10.426 12.973
-3.465 0.216 0.613
-8.514 -8.216 5.713
-15.070 -13.537 11.893
-11.784 -10.870 8.796
-8.822 -5.437 3.351
-6.751 -2.451 3.710
-13.291 -7.759 9.876
-5.552 -2.783 0.268
-15.370 -10.752 9.523
-5.244 -5.561 2.631
-2.386 -0.214 -2.716
-12.975 -10.531 12.230
-3.174 -2.576 2.992
-9.704 -7.877 9.147
-6.444 -5.231 6.074
0.000 0.000 0.000



CaSc2Ir2, optimized geometry, DFT PBE; V = 23.1 Å³/atom; final energy = -33.981 eV for the cell shown; magnetization = 0.346 μB per formula unit; energy above the lowest structure with this stoichiometry = 395 meV/atom; space-group type = I4/mmm
1.0
-4.423 0.017 0.777
-0.267 -4.249 -1.427
-1.412 -3.970 5.022
Ir Sc Ca
2 2 1
Cartesian
-4.090 -3.035 2.737
-2.012 -5.168 1.635
-4.016 -5.570 3.209
-2.085 -2.632 1.163
0.000 0.000 0.000



NaZnP2O, optimized geometry, DFT PBE; V = 19.2 Å³/atom; final energy = -12.736 eV for the cell shown; magnetization = 0.003 μB per formula unit; formation energy without anion corrections = 1127 meV/atom; energy above the lowest structure with this stoichiometry = 788 meV/atom; space-group type = P4/mmm
1.0
-3.958 -2.988 -0.238
1.611 -2.453 4.004
-1.983 2.443 2.295
Na O P Zn
1 1 2 1
Cartesian
0.000 0.000 0.000
-0.991 1.222 1.147
0.806 -1.227 2.002
-1.979 -1.494 -0.119
-2.165 -1.499 3.030



ReSiSb2, optimized geometry, DFT PBE; V = 20.8 Å³/atom; final energy = -23.964 eV for the cell shown; magnetization = 0.000 μB per formula unit; formation energy without anion corrections = 538 meV/atom; space-group type = Cmm2
1.0
3.068 0.011 0.000
-1.351 2.755 0.000
0.000 0.000 9.804
Re Si Sb
1 1 2
Cartesian
0.859 1.383 7.067
0.000 0.000 5.291
0.859 1.383 2.782
0.000 0.000 9.371



Be5NiPd4, optimized geometry, DFT PBE; V = 10.9 Å³/atom; final energy = -50.742 eV for the cell shown; magnetization = 0.000 μB per formula unit; space-group type = P4/mmm
1.0
-0.773 -2.545 0.845
0.851 0.601 2.589
-12.747 4.889 3.054
Pd Be Ni
4 5 1
Cartesian
-7.684 2.947 1.841
-10.302 3.951 2.468
-5.063 1.942 1.213
-2.446 0.938 0.586
-3.700 0.462 2.613
-1.050 -0.554 1.978
-8.970 2.483 3.875
-11.620 3.500 4.510
-6.335 1.473 3.244
0.000 0.000 0.000



Pm2ThSc, optimized geometry, DFT PBE; V = 31.3 Å³/atom; final energy = -22.949 eV for the cell shown; magnetization = 0.000 μB per formula unit; energy above the lowest structure with this stoichiometry = 15 meV/atom; space-group type = P4/mmm
1.0
-2.530 -2.286 1.013
2.234 -2.714 -0.544
3.128 0.695 9.378
Th Pm Sc
1 2 1
Cartesian
1.416 -2.153 4.923
0.762 0.169 2.283
2.367 0.526 7.094
-0.148 -2.500 0.235



LiAc3Cr2N6, optimized geometry, DFT PBE; V = 16.7 Å³/atom; final energy = -94.045 eV for the cell shown; magnetization = 0.000 μB per formula unit; formation energy without anion corrections = -884 meV/atom; space-group type = P-3m1
1.0
5.842 0.000 0.000
-2.921 5.059 0.000
0.000 0.000 6.766
Ac N Li Cr
3 6 1 2
Cartesian
2.921 1.686 2.227
0.000 3.373 4.540
0.000 0.000 0.000
1.418 4.191 1.961
0.000 1.736 1.961
2.921 3.323 4.806
-1.418 4.191 1.961
4.338 0.868 4.806
1.503 0.868 4.806
0.000 0.000 3.383
0.000 3.373 1.491
2.921 1.686 5.275